1.
## La4As2SCl (GGA-PBE)

Data for crystalline La4As2SCl at its relaxed geometry.

## Properties
* space-group type: P2/m
* crystal system: monoclinic

a = 7.3293 Å, b = 4.2947 Å, c = 7.4739 Å
α = 90.00°, β = 109.59°, γ = 90.00°
With the nearest neighbours (Å) after each atom.
Fractional positions:
La  0.2426  0.0000  0.2378  3 As 2.97-3.06, 1 S 2.99, 2 Cl 3.09
La  0.2493  0.5000  0.7589  3 As 2.97-3.05, 2 S 3.00, 1 Cl 3.08
La  0.7507  0.5000  0.2411  3 As 2.97-3.05, 2 S 3.00, 1 Cl 3.08
La  0.7574  0.0000  0.7622  3 As 2.97-3.06, 1 S 2.99, 2 Cl 3.09
As  0.0000  0.0000  0.5000  6 La 3.05-3.06
As  0.0000  0.5000  0.0000  6 La 2.97
S  0.5000  0.0000  0.0000  6 La 2.99-3.00
Cl  0.5000  0.5000  0.5000  6 La 3.08-3.09

2.
## La4SbAs2Cl (GGA-PBE)

Data for crystalline La4SbAs2Cl at its relaxed geometry.

## Properties
* space-group type: I4/mmm
* crystal system: tetragonal

a = 6.2337 Å, b = 6.2337 Å, c = 12.4192 Å
α = 90.00°, β = 90.00°, γ = 90.00°
With the nearest neighbours (Å) after each atom.
Fractional positions:
La  0.0000  0.0000  0.2486  1 Cl 3.09, 4 As 3.12, 1 Sb 3.12
La  0.0000  0.0000  0.7514  1 Cl 3.09, 4 As 3.12, 1 Sb 3.12
La  0.0000  0.5000  0.0000  2 As 3.10, 2 Sb 3.12, 2 Cl 3.12
La  0.0000  0.5000  0.5000  2 As 3.10, 2 Cl 3.12, 2 Sb 3.12
La  0.5000  0.0000  0.0000  2 As 3.10, 2 Sb 3.12, 2 Cl 3.12
La  0.5000  0.0000  0.5000  2 As 3.10, 2 Cl 3.12, 2 Sb 3.12
La  0.5000  0.5000  0.2514  1 Cl 3.09, 4 As 3.12, 1 Sb 3.12
La  0.5000  0.5000  0.7486  1 Cl 3.09, 4 As 3.12, 1 Sb 3.12
Sb  0.0000  0.0000  0.5000  6 La 3.12
Sb  0.5000  0.5000  0.0000  6 La 3.12
As  0.0000  0.5000  0.2500  6 La 3.10-3.12
As  0.0000  0.5000  0.7500  6 La 3.10-3.12
As  0.5000  0.0000  0.2500  6 La 3.10-3.12
As  0.5000  0.0000  0.7500  6 La 3.10-3.12
Cl  0.0000  0.0000  0.0000  6 La 3.09-3.12
Cl  0.5000  0.5000  0.5000  6 La 3.09-3.12

3.
## La4AsSeCl2 (GGA-PBE)

Data for crystalline La4AsSeCl2 at its relaxed geometry.

## Properties
* space-group type: P2/m
* crystal system: monoclinic

a = 7.2625 Å, b = 4.3062 Å, c = 7.4341 Å
α = 90.00°, β = 110.10°, γ = 90.00°
With the nearest neighbours (Å) after each atom.
Fractional positions:
La  0.2437  0.0000  0.2440  2 As 2.98, 1 Se 3.01, 3 Cl 3.01-3.05
La  0.2458  0.5000  0.7524  1 As 2.97, 2 Se 3.01, 3 Cl 3.02-3.05
La  0.7542  0.5000  0.2476  1 As 2.97, 2 Se 3.01, 3 Cl 3.02-3.05
La  0.7563  0.0000  0.7560  2 As 2.98, 1 Se 3.01, 3 Cl 3.01-3.05
As  0.0000  0.5000  0.0000  6 La 2.97-2.98
Se  0.0000  0.0000  0.5000  6 La 3.01
Cl  0.5000  0.0000  0.0000  6 La 3.01-3.02
Cl  0.5000  0.5000  0.5000  6 La 3.05

4.
## La8AsSe4Cl3 (GGA-PBE)

Data for crystalline La8AsSe4Cl3 at its relaxed geometry.

## Properties
* space-group type: R-3m
* crystal system: trigonal

a = 8.5272 Å, b = 8.5272 Å, c = 8.5272 Å
α = 60.14°, β = 60.14°, γ = 60.14°
With the nearest neighbours (Å) after each atom.
Fractional positions:
La  0.2455  0.7522  0.7522  1 As 2.99, 3 Se 3.00-3.04, 2 Cl 3.03
La  0.2478  0.2478  0.7545  1 As 2.99, 3 Se 3.00-3.04, 2 Cl 3.03
La  0.2478  0.7545  0.2478  1 As 2.99, 3 Se 3.00-3.04, 2 Cl 3.03
La  0.2489  0.2489  0.2489  3 Se 3.00, 3 Cl 3.03
La  0.7511  0.7511  0.7511  3 Se 3.00, 3 Cl 3.03
La  0.7522  0.2455  0.7522  1 As 2.99, 3 Se 3.00-3.04, 2 Cl 3.03
La  0.7522  0.7522  0.2455  1 As 2.99, 3 Se 3.00-3.04, 2 Cl 3.03
La  0.7545  0.2478  0.2478  1 As 2.99, 3 Se 3.00-3.04, 2 Cl 3.03
As  0.0000  0.0000  0.0000  6 La 2.99
Se  0.0000  0.0000  0.5000  6 La 3.00
Se  0.0000  0.5000  0.0000  6 La 3.00
Se  0.5000  0.0000  0.0000  6 La 3.00
Se  0.5000  0.5000  0.5000  6 La 3.04
Cl  0.0000  0.5000  0.5000  6 La 3.03
Cl  0.5000  0.0000  0.5000  6 La 3.03
Cl  0.5000  0.5000  0.0000  6 La 3.03

5.
## La6As2SeCl3 (GGA-PBE)

Data for crystalline La6As2SeCl3 at its relaxed geometry.

## Properties
* space-group type: C2/m
* crystal system: monoclinic

a = 9.4897 Å, b = 9.4897 Å, c = 8.4290 Å
α = 101.32°, β = 101.32°, γ = 26.37°
With the nearest neighbours (Å) after each atom.
Fractional positions:
La  0.0020  0.0020  0.2475  1 As 2.98, 2 Se 3.00, 3 Cl 3.04-3.08
La  0.3313  0.3313  0.4229  3 As 2.98-2.99, 3 Cl 3.05-3.06
La  0.3353  0.3353  0.9107  2 As 2.98, 1 Se 2.98, 3 Cl 3.03-3.06
La  0.6647  0.6647  0.0893  2 As 2.98, 1 Se 2.98, 3 Cl 3.03-3.06
La  0.6687  0.6687  0.5771  3 As 2.98-2.99, 3 Cl 3.05-3.06
La  0.9980  0.9980  0.7525  1 As 2.98, 2 Se 3.00, 3 Cl 3.04-3.08
As  0.1664  0.1664  0.3324  6 La 2.98-2.99
As  0.8336  0.8336  0.6676  6 La 2.98-2.99
Se  0.5000  0.5000  0.0000  6 La 2.98-3.00
Cl  0.1680  0.1680  0.8340  6 La 3.03-3.08
Cl  0.5000  0.5000  0.5000  6 La 3.04-3.05
Cl  0.8320  0.8320  0.1660  6 La 3.03-3.08

6.
## La4As2SeCl (GGA-PBE)

Data for crystalline La4As2SeCl at its relaxed geometry.

## Properties
* space-group type: I4/mmm
* crystal system: tetragonal

a = 6.0996 Å, b = 6.0996 Å, c = 12.1889 Å
α = 90.00°, β = 90.00°, γ = 90.00°
With the nearest neighbours (Å) after each atom.
Fractional positions:
La  0.0000  0.0000  0.2466  1 Se 3.01, 4 As 3.05, 1 Cl 3.09
La  0.0000  0.0000  0.7534  1 Se 3.01, 4 As 3.05, 1 Cl 3.09
La  0.0000  0.5000  0.0000  2 As 3.05, 2 Cl 3.05, 2 Se 3.05
La  0.0000  0.5000  0.5000  2 As 3.05, 2 Se 3.05, 2 Cl 3.05
La  0.5000  0.0000  0.0000  2 As 3.05, 2 Cl 3.05, 2 Se 3.05
La  0.5000  0.0000  0.5000  2 As 3.05, 2 Se 3.05, 2 Cl 3.05
La  0.5000  0.5000  0.2534  1 Se 3.01, 4 As 3.05, 1 Cl 3.09
La  0.5000  0.5000  0.7466  1 Se 3.01, 4 As 3.05, 1 Cl 3.09
As  0.0000  0.5000  0.2500  6 La 3.05
As  0.0000  0.5000  0.7500  6 La 3.05
As  0.5000  0.0000  0.2500  6 La 3.05
As  0.5000  0.0000  0.7500  6 La 3.05
Se  0.0000  0.0000  0.0000  6 La 3.01-3.05
Se  0.5000  0.5000  0.5000  6 La 3.01-3.05
Cl  0.0000  0.0000  0.5000  6 La 3.05-3.09
Cl  0.5000  0.5000  0.0000  6 La 3.05-3.09

7.
## La6AsSe3Cl2 (GGA-PBE)

Data for crystalline La6AsSe3Cl2 at its relaxed geometry.

## Properties
* space-group type: C2/m
* crystal system: monoclinic

a = 7.4048 Å, b = 7.4048 Å, c = 7.4314 Å
α = 99.58°, β = 99.58°, γ = 119.96°
With the nearest neighbours (Å) after each atom.
Fractional positions:
La  0.0835  0.4107  0.7514  1 As 2.99, 3 Se 3.00-3.05, 2 Cl 3.05
La  0.2419  0.2419  0.2465  1 As 3.00, 3 Se 3.00-3.06, 2 Cl 3.06
La  0.4107  0.0835  0.7514  1 As 2.99, 3 Se 3.00-3.05, 2 Cl 3.05
La  0.5893  0.9165  0.2486  1 As 2.99, 3 Se 3.00-3.05, 2 Cl 3.05
La  0.7581  0.7581  0.7535  1 As 3.00, 3 Se 3.00-3.06, 2 Cl 3.06
La  0.9165  0.5893  0.2486  1 As 2.99, 3 Se 3.00-3.05, 2 Cl 3.05
As  0.0000  0.0000  0.5000  6 La 2.99-3.00
Se  0.1677  0.8323  0.0000  6 La 3.00-3.05
Se  0.5000  0.5000  0.0000  6 La 3.00-3.06
Se  0.8323  0.1677  0.0000  6 La 3.00-3.05
Cl  0.3338  0.6662  0.5000  6 La 3.05-3.06
Cl  0.6662  0.3338  0.5000  6 La 3.05-3.06

8.
## La6As2Se3Cl (GGA-PBE)

Data for crystalline La6As2Se3Cl at its relaxed geometry.

## Properties
* space-group type: C2/m
* crystal system: monoclinic

a = 9.6513 Å, b = 9.6513 Å, c = 8.6420 Å
α = 102.97°, β = 102.97°, γ = 25.89°
With the nearest neighbours (Å) after each atom.
Fractional positions:
La  0.0015  0.0015  0.2587  1 As 2.99, 3 Se 3.01-3.06, 2 Cl 3.11
La  0.3304  0.3304  0.9106  3 Se 3.01-3.08, 2 As 3.01, 1 Cl 3.11
La  0.3308  0.3308  0.4205  3 As 3.04, 3 Se 3.09-3.10
La  0.6692  0.6692  0.5795  3 As 3.04, 3 Se 3.09-3.10
La  0.6696  0.6696  0.0894  3 Se 3.01-3.08, 2 As 3.01, 1 Cl 3.11
La  0.9985  0.9985  0.7413  1 As 2.99, 3 Se 3.01-3.06, 2 Cl 3.11
As  0.1648  0.1648  0.3299  6 La 2.99-3.04
As  0.8352  0.8352  0.6701  6 La 2.99-3.04
Se  0.1658  0.1658  0.8339  6 La 3.01-3.09
Se  0.5000  0.5000  0.5000  6 La 3.01-3.10
Se  0.8342  0.8342  0.1661  6 La 3.01-3.09
Cl  0.5000  0.5000  0.0000  6 La 3.11

What are the formation energy from raw total energies values for these records? In order: -1.78, -1.53, -1.72, -1.80, -1.70, -1.74, -1.81, -1.83 eV/atom.
What are the E_tot values for these records? In order: -49.23, -94.51, -45.31, -92.43, -68.25, -96.45, -70.10, -73.07 eV per cell.